A relaxed LiRu2Se crystal. Source: the Alexandria database, functional PBE.

Lattice parameters (Å, degrees): 5.067 5.067 5.067 145.08 130.32 62.16
Positions (direct):
1 Li 0.000 0.000 0.000
2 Ru 0.265 0.765 0.500
3 Ru 0.522 0.522 0.000
4 Se 0.751 0.251 0.500

For the uncorrected formation energy, the calculation gives 150 meV per atom. For the total energy, the calculation gives -23.4 eV for the cell shown.